No. 1
Material: RbPuTcN4
Method: DFT, PBE-GGA
State: optimized geometry

The structure belongs to space group P2_1/m (No. 11); the cell edges are 5.9829, 5.9424 and 7.9583 Å and the angles 90.00°, 106.83° and 90.00°. The distinct sites, in fractional coordinates, are Rb at (0.2069, 0.2500, 0.4312), Pu at (0.2964, 0.2500, 0.9541), Tc at (0.2408, 0.7500, 0.1489), N at (0.0255, 0.7500, 0.9396), N at (0.0438, 0.7500, 0.2848) and N at (0.4481, 0.5130, 0.1616).

The total energy is -123.04 eV per cell. The calculation puts the formation energy from raw total energies at -2.6 eV/f.u.



No. 2
Material: Na2YCl5
Method: DFT, PBE-GGA
State: optimized geometry

The structure belongs to space group Pnma (No. 62); the cell edges are 12.1088, 8.2821 and 7.7794 Å and the angles 90.00°, 90.00° and 90.00°. The distinct sites, in fractional coordinates, are Na at (0.1765, 0.0059, 0.0185), Y at (0.0074, 0.7500, 0.5817), Cl at (0.0131, 0.7500, 0.9356), Cl at (0.0871, 0.0450, 0.6598), Cl at (0.1805, 0.7500, 0.3648) and Cl at (0.2060, 0.2500, 0.3155).

The total energy is -138.16 eV per cell. Its excess energy over the best structure of this formula in the dataset is 5 meV per atom. The calculation puts the formation energy from raw total energies at -16.2 eV/f.u.



No. 3
Material: Ac2Zn3Au9
Method: DFT, PBE-GGA
State: optimized geometry

The structure belongs to space group C2/c (No. 15); the cell edges are 14.0890, 8.0455 and 11.2897 Å and the angles 90.00°, 114.31° and 90.00°. The distinct sites, in fractional coordinates, are Ac at (0.1672, 0.0824, 0.2491), Zn at (0.0870, 0.2317, 0.4962), Zn at (0.2500, 0.2500, 0.0000), Au at (0.0000, 0.3634, 0.2500), Au at (0.0614, 0.0974, 0.9316), Au at (0.1028, 0.4195, 0.0679), Au at (0.1058, 0.3117, 0.7447) and Au at (0.2214, 0.4221, 0.4337).

The total energy is -194.10 eV per cell.